Entry 1:
The following is a PBE-GGA calculation of a relaxed structure of Ce4Ga2Si5, from Alexandria via LeMat-Bulk.

Lattice parameters (Å, degrees): 4.3481 6.8388 7.8617 88.95 90.00 90.00
Sites, in units of the cell vectors:
Si 0.0000 0.5000 0.0000
Si 0.0000 0.8828 0.8862
Si 0.0000 0.1172 0.1138
Si 0.0000 0.4437 0.6504
Si 0.0000 0.5563 0.3496
Ce 0.5000 0.2563 0.3714
Ce 0.5000 0.7437 0.6286
Ce 0.5000 0.7614 0.1279
Ce 0.5000 0.2386 0.8721
Ga 0.0000 0.0895 0.6301
Ga 0.0000 0.9105 0.3699

Calculated values
Its total magnetic moment is 1.971 μB per formula unit. The uncorrected formation energy is -601 meV per atom. The value obtained for the density of states at the Fermi level is 1.374 states/eV/atom. The calculation puts the total energy at -5.774 eV/atom.


Entry 2:
The following is a PBE-GGA calculation of a relaxed structure of CeGaSi, from Alexandria via LeMat-Bulk.

Lattice parameters (Å, degrees): 7.7607 7.7607 7.7607 149.35 148.12 44.82
Sites, in units of the cell vectors:
Ce 0.6162 0.8662 0.7500
Ce 0.3838 0.1338 0.2500
Si 0.0412 0.2912 0.7500
Si 0.9588 0.7088 0.2500
Ga 0.2087 0.4587 0.7500
Ga 0.7913 0.5413 0.2500

Calculated values
Its total magnetic moment is 0.703 μB per formula unit. The uncorrected formation energy is -647 meV per atom. The value obtained for the density of states at the Fermi level is 1.757 states/eV/atom. The calculation puts the total energy at -5.442 eV/atom.


Q: Which formula does entry 2 have?
A: CeGaSi


Q: Which formula does entry 2 have?
A: CeGaSi


Q: Which of these has the highest total magnetic moment?
A: Ce4Ga2Si5


Copy entry 2 word for word.
The following is a PBE-GGA calculation of a relaxed structure of CeGaSi, from Alexandria via LeMat-Bulk.

Lattice parameters (Å, degrees): 7.7607 7.7607 7.7607 149.35 148.12 44.82
Sites, in units of the cell vectors:
Ce 0.6162 0.8662 0.7500
Ce 0.3838 0.1338 0.2500
Si 0.0412 0.2912 0.7500
Si 0.9588 0.7088 0.2500
Ga 0.2087 0.4587 0.7500
Ga 0.7913 0.5413 0.2500

Calculated values
Its total magnetic moment is 0.703 μB per formula unit. The uncorrected formation energy is -647 meV per atom. The value obtained for the density of states at the Fermi level is 1.757 states/eV/atom. The calculation puts the total energy at -5.442 eV/atom.